(1)
First-principles (PBE) data for an optimized crystal structure of BaAlGe3, as listed in the Alexandria database.

```
data_BaAlGe3
_chemical_formula_sum 'Ba1 Al1 Ge3'
_cell_length_a 5.815
_cell_length_b 5.815
_cell_length_c 5.815
_cell_angle_alpha 90.00
_cell_angle_beta 90.00
_cell_angle_gamma 90.00
_symmetry_space_group_name_H-M 'P m -3 m'
_symmetry_Int_Tables_number 221
_symmetry_space_group_name_Hall '-P 4 2 3'
loop_
_atom_site_label
_atom_site_type_symbol
_atom_site_fract_x
_atom_site_fract_y
_atom_site_fract_z
_atom_site_occupancy
Ba1 Ba 0.000 0.000 0.000 1
Al1 Al 0.500 0.500 0.500 1
Ge1 Ge 0.000 0.000 0.500 1
```

(2)
First-principles (PBE) data for an optimized crystal structure of Ba3AlGe4, as listed in the Alexandria database.

```
data_Ba3AlGe4
_chemical_formula_sum 'Ba6 Al2 Ge8'
_cell_length_a 5.218
_cell_length_b 6.025
_cell_length_c 16.916
_cell_angle_alpha 90.00
_cell_angle_beta 90.00
_cell_angle_gamma 90.00
_symmetry_space_group_name_H-M 'I m m m'
_symmetry_Int_Tables_number 71
_symmetry_space_group_name_Hall '-I 2 2'
loop_
_atom_site_label
_atom_site_type_symbol
_atom_site_fract_x
_atom_site_fract_y
_atom_site_fract_z
_atom_site_occupancy
Ba1 Ba 0.000 0.000 0.000 1
Ba2 Ba 0.000 0.500 0.190 1
Al1 Al 0.000 0.000 0.500 1
Ge1 Ge 0.000 0.298 0.385 1
```

(3)
First-principles (PBE) data for an optimized crystal structure of BaAl2Ge2, as listed in the Alexandria database.

```
data_BaAl2Ge2
_chemical_formula_sum 'Ba4 Al8 Ge8'
_cell_length_a 10.253
_cell_length_b 4.331
_cell_length_c 11.074
_cell_angle_alpha 90.00
_cell_angle_beta 90.00
_cell_angle_gamma 90.00
_symmetry_space_group_name_H-M 'P n m a'
_symmetry_Int_Tables_number 62
_symmetry_space_group_name_Hall '-P 2ac 2n'
loop_
_atom_site_label
_atom_site_type_symbol
_atom_site_fract_x
_atom_site_fract_y
_atom_site_fract_z
_atom_site_occupancy
Ba1 Ba 0.248 0.250 0.175 1
Al1 Al 0.043 0.250 0.882 1
Al2 Al 0.099 0.250 0.454 1
Ge1 Ge 0.026 0.750 0.343 1
Ge2 Ge 0.146 0.750 0.959 1
```

(4)
First-principles (PBE) data for an optimized crystal structure of Ba2Al7Ge, as listed in the Alexandria database.

```
data_Ba2Al7Ge
_chemical_formula_sum 'Ba2 Al7 Ge1'
_cell_length_a 4.621
_cell_length_b 4.621
_cell_length_c 11.146
_cell_angle_alpha 90.00
_cell_angle_beta 90.00
_cell_angle_gamma 90.00
_symmetry_space_group_name_H-M 'P -4 m 2'
_symmetry_Int_Tables_number 115
_symmetry_space_group_name_Hall 'P -4 -2'
loop_
_atom_site_label
_atom_site_type_symbol
_atom_site_fract_x
_atom_site_fract_y
_atom_site_fract_z
_atom_site_occupancy
Ba1 Ba 0.000 0.500 0.248 1
Al1 Al 0.000 0.000 0.000 1
Al2 Al 0.000 0.000 0.500 1
Al3 Al 0.000 0.500 0.631 1
Al4 Al 0.000 0.500 0.874 1
Al5 Al 0.500 0.500 0.500 1
Ge1 Ge 0.500 0.500 0.000 1
```

(5)
First-principles (PBE) data for an optimized crystal structure of BaAlGe2, as listed in the Alexandria database.

```
data_BaAlGe2
_chemical_formula_sum 'Ba4 Al4 Ge8'
_cell_length_a 5.274
_cell_length_b 5.274
_cell_length_c 17.209
_cell_angle_alpha 90.00
_cell_angle_beta 90.00
_cell_angle_gamma 90.00
_symmetry_space_group_name_H-M 'I -4 2 d'
_symmetry_Int_Tables_number 122
_symmetry_space_group_name_Hall 'I -4 2bw'
loop_
_atom_site_label
_atom_site_type_symbol
_atom_site_fract_x
_atom_site_fract_y
_atom_site_fract_z
_atom_site_occupancy
Ba1 Ba 0.000 0.000 0.000 1
Al1 Al 0.000 0.000 0.500 1
Ge1 Ge 0.032 0.250 0.625 1
```

(6)
# Ba3Al2Ge2, relaxed, DFT PBE
data_Ba3Al2Ge2
_chemical_formula_sum 'Ba6 Al4 Ge4'
_cell_length_a 4.371
_cell_length_b 5.156
_cell_length_c 20.190
_cell_angle_alpha 90.00
_cell_angle_beta 90.00
_cell_angle_gamma 90.00
_symmetry_space_group_name_H-M 'I m m m'
_symmetry_Int_Tables_number 71
_symmetry_space_group_name_Hall '-I 2 2'
loop_
_atom_site_label
_atom_site_type_symbol
_atom_site_fract_x
_atom_site_fract_y
_atom_site_fract_z
_atom_site_occupancy
Ba1 Ba 0.000 0.000 0.000 1
Ba2 Ba 0.000 0.500 0.316 1
Al1 Al 0.000 0.000 0.436 1
Ge1 Ge 0.000 0.500 0.135 1
# Energy above the lowest structure with this stoichiometry (kcal/mol of atoms): 0.00

Across the entries above, density of states at the Fermi level takes the values 0.934, 0.589, 0.116, 0.329, 0.343, 0.523 states/eV per atom, respectively.
Across the entries above, calculated total energy takes the values -0.0927, -0.1425, -0.1517, -0.1365, -0.1450, -0.1357 Ha/atom, respectively.